# 1
Entry from the Alexandria database: HfZr2Cu2 after structural relaxation (GGA-PBE).

a b c (Å): 7.608 7.608 3.210
angles (deg): 90.00 90.00 90.00
Space group P4/mbm (No. 127)
Unique sites:
1 Hf 0.000 0.000 0.000 x2
2 Zr 0.175 0.325 0.500 x4
3 Cu 0.120 0.620 0.000 x4

Properties
The offset from the most stable computed form comes out at 0.0 meV/atom. The crystal system is tetragonal.


# 2
Entry from the Alexandria database: HfZr3Cu after structural relaxation (GGA-PBE).

a b c (Å): 3.053 27.861 4.946
angles (deg): 90.00 90.00 90.00
Space group Cmcm (No. 63)
Unique sites:
1 Hf 0.000 0.081 0.250 x4
2 Zr 0.000 0.311 0.750 x4
3 Zr 0.000 0.371 0.250 x4
4 Zr 0.000 0.475 0.250 x4
5 Cu 0.000 0.215 0.750 x4

Properties
The offset from the most stable computed form comes out at 0.0 meV/atom. The crystal system is orthorhombic.


# 3
Entry from the Alexandria database: HfZrCu5 after structural relaxation (GGA-PBE).

a b c (Å): 5.909 7.499 9.670
angles (deg): 90.00 102.40 90.00
Space group C2/c (No. 15)
Unique sites:
1 Hf 0.250 0.250 0.000 x4
2 Zr 0.000 0.200 0.250 x4
3 Cu 0.000 0.161 0.750 x4
4 Cu 0.095 0.468 0.644 x8
5 Cu 0.185 0.102 0.548 x8

Properties
The total energy is -5.639 eV per atom. The crystal system is monoclinic.


# 4
Entry from the Alexandria database: Hf2Zr2Cu after structural relaxation (GGA-PBE).

a b c (Å): 6.990 6.990 4.461
angles (deg): 90.00 90.00 90.00
Space group P4/mbm (No. 127)
Unique sites:
1 Hf 0.149 0.351 0.000 x4
2 Zr 0.152 0.652 0.500 x4
3 Cu 0.000 0.000 0.000 x2

Properties
The offset from the most stable computed form comes out at 0.0 meV/atom. The crystal system is tetragonal.


# 5
Entry from the Alexandria database: HfZr2Cu after structural relaxation (GGA-PBE).

a b c (Å): 3.0278 3.0278 31.7826
angles (deg): 90.00 90.00 120.00
Space group R-3m (No. 166, hexagonal axes)
Unique sites:
1 Hf 0.0000 0.0000 0.0000 x3
2 Zr 0.0000 0.0000 0.0959 x6
3 Cu 0.0000 0.0000 0.5000 x3

Properties
The offset from the most stable computed form comes out at 414.0 meV/atom. The crystal system is trigonal.


# 6
Entry from the Alexandria database: HfZrCu3 after structural relaxation (GGA-PBE).

a b c (Å): 4.665 4.665 4.665
angles (deg): 90.00 90.00 90.00
Space group Pm-3m (No. 221)
Unique sites:
1 Hf 0.000 0.000 0.000 x1
2 Zr 0.500 0.500 0.500 x1
3 Cu 0.000 0.000 0.500 x3

Properties
The offset from the most stable computed form comes out at 1131.5 meV/atom. The crystal system is cubic.


# 7
Entry from the Alexandria database: HfZr2Cu2 after structural relaxation (GGA-PBE).

a b c (Å): 3.277 3.277 18.261
angles (deg): 90.00 90.00 90.00
Space group I4/mmm (No. 139)
Unique sites:
1 Hf 0.000 0.000 0.000 x2
2 Zr 0.000 0.000 0.382 x4
3 Cu 0.000 0.500 0.250 x4

Properties
The offset from the most stable computed form comes out at 207.0 meV/atom. The crystal system is tetragonal.


# 8
Entry from the Alexandria database: HfZr2Cu after structural relaxation (GGA-PBE).

a b c (Å): 3.2106 3.2106 28.0674
angles (deg): 90.00 90.00 120.00
Space group R3m (No. 160, hexagonal axes)
Unique sites:
1 Hf 0.0000 0.0000 0.0000 x3
2 Zr 0.0000 0.0000 0.5768 x3
3 Zr 0.0000 0.0000 0.7571 x3
4 Cu 0.0000 0.0000 0.1671 x3

Properties
The offset from the most stable computed form comes out at 175.3 meV/atom. The crystal system is trigonal.


no.,spin magnetization (μB/cell)
1,0.0
2,0.0
3,0.0
4,0.0
5,0.0
6,0.0
7,0.0
8,0.0